Below is crystalline Tb2Sb4Au at its relaxed geometry, with properties calculated at the PBE level.

a = 4.4112 Å, b = 4.4112 Å, c = 9.6100 Å
α = 90.00°, β = 90.00°, γ = 90.00°
With the nearest neighbours (Å) after each atom.
Sites, in units of the cell vectors:
Tb1 0.0000 0.5000 0.2440  8 Sb 3.21-3.30, 2 Au 3.22
Tb2 0.5000 0.0000 0.7560  8 Sb 3.21-3.30, 2 Au 3.22
Sb1 0.0000 0.0000 0.5000  4 Sb 3.12, 4 Tb 3.30
Sb2 0.0000 0.5000 0.8330  2 Au 2.73
Sb3 0.5000 0.0000 0.1670  2 Au 2.73
Sb4 0.5000 0.5000 0.5000  4 Sb 3.12, 4 Tb 3.30
Au1 0.5000 0.5000 0.0000  4 Sb 2.73

## Properties
Space group = P-4m2
Calculated volume = 187 Å³ per cell
E_tot = -4.8509 eV/atom


Below is crystalline ZrAgNO at its relaxed geometry, with properties calculated at the PBE level.

a = 6.0634 Å, b = 7.1744 Å, c = 5.7690 Å
α = 90.00°, β = 90.00°, γ = 90.00°
With the nearest neighbours (Å) after each atom.
Sites, in units of the cell vectors:
Zr1 0.0682 0.1352 0.0000  1 O 1.94, 3 N 2.10-2.12
Zr2 0.4318 0.1352 0.5000  1 O 1.94, 3 N 2.10-2.12
Zr3 0.5682 0.8648 0.0000  1 O 1.94, 3 N 2.10-2.12
Zr4 0.9318 0.8648 0.5000  1 O 1.94, 3 N 2.10-2.12
Ag1 0.0565 0.6680 0.9947  1 N 2.23, 3 O 2.30-2.40
Ag2 0.4435 0.6680 0.4947  1 N 2.23, 3 O 2.30-2.40
Ag3 0.5565 0.3320 0.9947  1 N 2.23, 3 O 2.30-2.40
Ag4 0.9435 0.3320 0.4947  1 N 2.23, 3 O 2.30-2.40
N1 0.1185 0.0854 0.6439  3 Zr 2.10-2.12, 1 Ag 2.23
N2 0.3815 0.0854 0.1439  3 Zr 2.10-2.12, 1 Ag 2.23
N3 0.6185 0.9146 0.6439  3 Zr 2.10-2.12, 1 Ag 2.23
N4 0.8815 0.9146 0.1439  3 Zr 2.10-2.12, 1 Ag 2.23
O1 0.0644 0.6270 0.5820  1 Zr 1.94
O2 0.4356 0.6270 0.0820  1 Zr 1.94
O3 0.5644 0.3730 0.5820  1 Zr 1.94
O4 0.9356 0.3730 0.0820  1 Zr 1.94

## Properties
Space group = Pca2_1
Calculated volume = 251 Å³ per cell
E_tot = -7.3402 eV/atom


Below is crystalline OsAuSeO at its relaxed geometry, with properties calculated at the PBE level.

a = 5.2241 Å, b = 5.2245 Å, c = 10.3965 Å
α = 90.00°, β = 90.64°, γ = 90.00°
With the nearest neighbours (Å) after each atom.
Sites, in units of the cell vectors:
Os1 0.0017 0.0000 0.3796  4 O 2.20-2.23
Os2 0.4961 0.9977 0.6196  4 O 2.22-2.28, 2 Se 2.45-2.47
Os3 0.5039 0.4977 0.3804  4 O 2.22-2.28, 2 Se 2.45-2.47
Os4 0.9983 0.5000 0.6204  4 O 2.20-2.23
Au1 0.2122 0.7546 0.0013  2 Se 2.47
Au2 0.4983 0.0000 0.2867  2 Se 2.48-2.49, 1 Os 2.78
Au3 0.5017 0.5000 0.7133  2 Se 2.48-2.49, 1 Os 2.78
Au4 0.7878 0.2546 0.9987  2 Se 2.47
Se1 0.1711 0.6714 0.2339  2 Os 2.46-2.47, 2 Au 2.47-2.48, 1 Se 2.55
Se2 0.1743 0.8278 0.7671  2 Os 2.45-2.46, 2 Au 2.47-2.49, 1 Se 2.55
Se3 0.8257 0.3278 0.2329  2 Os 2.45-2.46, 2 Au 2.47-2.49, 1 Se 2.55
Se4 0.8289 0.1714 0.7661  2 Os 2.46-2.47, 2 Au 2.47-2.48, 1 Se 2.55
O1 0.2421 0.7505 0.5006  4 Os 2.20-2.28
O2 0.2455 0.2519 0.5031  4 Os 2.21-2.27
O3 0.7545 0.7519 0.4969  4 Os 2.21-2.27
O4 0.7579 0.2505 0.4994  4 Os 2.20-2.28

## Properties
Space group = P2_1
Calculated volume = 284 Å³ per cell
E_tot = -5.5194 eV/atom